Record 1
The following is a meta-GGA SCAN calculation of a crystal of Be3HW relaxed with PBEsol, from Alexandria.

It has space group Pm-3m (No. 221), with a = 3.462 Å, b = 3.462 Å, c = 3.462 Å, α = 90.00°, β = 90.00° and γ = 90.00°. Symmetry generates all atoms from Be at (0.000, 0.000, 0.500), H at (0.000, 0.000, 0.000) and W at (0.500, 0.500, 0.500).

The calculation puts the magnetization at 0.000 μB per cell. The calculation puts the mass density at 8.48 Mg/m³. As for the total DFT energy (no corrections): -85.35 eV per cell.


Record 2
The following is a meta-GGA SCAN calculation of a crystal of LiZnHg2 relaxed with PBEsol, from Alexandria.

It has space group Cm (No. 8), with a = 9.502 Å, b = 3.429 Å, c = 4.585 Å, α = 90.00°, β = 104.63° and γ = 90.00°. Symmetry generates all atoms from Li at (0.000, 0.000, 0.000), Zn at (0.259, 0.000, 0.704), Hg at (0.012, 0.500, 0.520) and Hg at (0.242, 0.500, 0.178).

For the formation energy, the calculation gives -0.176 eV per atom. The calculation puts the magnetization at 0.000 μB per cell. The calculation puts the mass density at 10.88 Mg/m³.


Record 3
The following is a meta-GGA SCAN calculation of a crystal of YTaAl relaxed with PBEsol, from Alexandria.

It has space group F-43m (No. 216), with a = 6.626 Å, b = 6.626 Å, c = 6.626 Å, α = 90.00°, β = 90.00° and γ = 90.00°. Symmetry generates all atoms from Y at (0.000, 0.000, 0.000), Ta at (0.250, 0.250, 0.250) and Al at (0.000, 0.000, 0.500).

The energy above the most stable polymorph in this dataset is 2.34 eV/f.u. For the formation energy, the calculation gives 0.780 eV per atom. The calculation puts the magnetization at 11.592 μB per cell. The calculation puts the mass density at 6.78 Mg/m³.


Record 4
The following is a meta-GGA SCAN calculation of a crystal of TaTeW relaxed with PBEsol, from Alexandria.

It has space group I4mm (No. 107), with a = 3.383 Å, b = 3.383 Å, c = 9.548 Å, α = 90.00°, β = 90.00° and γ = 90.00°. Symmetry generates all atoms from Ta at (0.000, 0.000, 0.000), Te at (0.000, 0.000, 0.679) and W at (0.000, 0.000, 0.351).

The energy above the most stable polymorph in this dataset is 0.00 eV/f.u. The formation energy without anion corrections is 512 meV per atom. The calculation puts the magnetization at 0.000 μB per cell. The calculation puts the mass density at 14.96 Mg/m³.


Record 5
The following is a meta-GGA SCAN calculation of a crystal of Zn5Ni relaxed with PBEsol, from Alexandria.

It has space group Amm2 (No. 38), with a = 4.175 Å, b = 2.735 Å, c = 13.687 Å, α = 90.00°, β = 90.00° and γ = 90.00°. Symmetry generates all atoms from Zn at (0.000, 0.000, 0.000), Zn at (0.000, 0.000, 0.317), Zn at (0.500, 0.000, 0.208), Zn at (0.500, 0.000, 0.549), Zn at (0.500, 0.000, 0.880) and Ni at (0.000, 0.000, 0.658).

For the formation energy, the calculation gives -0.090 eV per atom. The calculation puts the magnetization at 0.000 μB per cell. The calculation puts the mass density at 8.20 Mg/m³.


Record 6
The following is a meta-GGA SCAN calculation of a crystal of LiMnIn2 relaxed with PBEsol, from Alexandria.

It has space group Pmmm (No. 47), with a = 3.042 Å, b = 3.732 Å, c = 6.177 Å, α = 90.00°, β = 90.00° and γ = 90.00°. Symmetry generates all atoms from Li at (0.000, 0.000, 0.000), Mn at (0.000, 0.000, 0.500) and In at (0.500, 0.500, 0.255).

For the formation energy, the calculation gives -0.209 eV per atom. The calculation puts the magnetization at 3.571 μB per cell. The calculation puts the mass density at 6.90 Mg/m³.


Record 7
The following is a meta-GGA SCAN calculation of a crystal of NiPt2Se2 relaxed with PBEsol, from Alexandria.

It has space group I4/mmm (No. 139), with a = 3.675 Å, b = 3.675 Å, c = 12.965 Å, α = 90.00°, β = 90.00° and γ = 90.00°. Symmetry generates all atoms from Ni at (0.000, 0.000, 0.000), Pt at (0.000, 0.500, 0.250) and Se at (0.000, 0.000, 0.396).

The formation energy without anion corrections is 494 meV per atom. The calculation puts the magnetization at 0.004 μB per cell. The calculation puts the mass density at 11.51 Mg/m³.


Record 8
The following is a meta-GGA SCAN calculation of a crystal of Tc2Rh relaxed with PBEsol, from Alexandria.

It has space group C2/m (No. 12), with a = 9.815 Å, b = 2.696 Å, c = 6.391 Å, α = 90.00°, β = 103.49° and γ = 90.00°. Symmetry generates all atoms from Tc at (0.141, 0.000, 0.023), Tc at (0.192, 0.000, 0.640) and Rh at (0.029, 0.500, 0.304).

The energy above the most stable polymorph in this dataset is 0.00 eV/f.u. For the formation energy, the calculation gives -0.145 eV per atom. The calculation puts the magnetization at 0.000 μB per cell. The calculation puts the mass density at 12.07 Mg/m³.